No. 1
A geometry-optimized NaMgTl2Cl6 structure, computed with PBE-GGA.

Cell lengths 6.975, 7.456, 12.265 Å; angles 90.00, 124.26, 90.00 degrees
Space group P2_1/c (No. 14)
Unique sites:
Na: 0.000 0.000 0.000 [2 per cell]
Mg: 0.500 0.000 0.500 [2 per cell]
Tl: 0.217 0.078 0.746 [4 per cell]
Cl: 0.153 0.180 0.447 [4 per cell]
Cl: 0.264 0.712 0.437 [4 per cell]
Cl: 0.387 0.044 0.265 [4 per cell]

Calculated values
final energy	-0.2328	Ry/atom
E_form (uncorrected)	-1.29	eV per atom

=====

No. 2
A geometry-optimized Li4Sn2Bi structure, computed with PBE-GGA.

Cell lengths 7.947, 4.580, 8.713 Å; angles 90.00, 90.10, 90.00 degrees
Space group C2/m (No. 12)
Unique sites:
Li: 0.166 0.000 0.237 [4 per cell]
Li: 0.167 0.000 0.902 [4 per cell]
Sn: 0.167 0.000 0.577 [4 per cell]
Bi: 0.000 0.500 0.000 [2 per cell]

Calculated values
final energy	-0.2302	Ry/atom
ΔE_f	-341	meV per atom

=====

No. 3
A geometry-optimized Tb4Cu3Os structure, computed with PBE-GGA.

Cell lengths 4.893, 4.893, 6.969 Å; angles 90.00, 90.00, 90.00 degrees
Space group P4/mmm (No. 123)
Unique sites:
Tb: 0.000 0.500 0.242 [4 per cell]
Cu: 0.000 0.000 0.000 [1 per cell]
Cu: 0.000 0.000 0.500 [1 per cell]
Cu: 0.500 0.500 0.500 [1 per cell]
Os: 0.500 0.500 0.000 [1 per cell]

Calculated values
final energy	-0.4040	Ry/atom
ΔE_f	-242	meV per atom